Record 1
## NaCoCuTe2S (PBE)

Data for NaCoCuTe2S after structural relaxation.

Properties
The value obtained for the spin magnetization is 0.026 μB/cell. The crystal system is orthorhombic. Its total energy is -3.98 eV/atom. As for the symmetry: Cmcm.

Cell: 6.967 6.967 9.952 Å, 90.00 90.00 148.87°
Positions (direct):
Co 0.000 0.000 0.000
Co 0.000 0.000 0.500
Cu 0.465 0.535 0.250
Cu 0.535 0.465 0.750
Na 0.740 0.260 0.250
Na 0.260 0.740 0.750
S 0.059 0.941 0.250
S 0.941 0.059 0.750
Te 0.368 0.632 0.029
Te 0.368 0.632 0.471
Te 0.632 0.368 0.529
Te 0.632 0.368 0.971

=====

Record 2
## NaCoCuSe3 (PBE)

Data for NaCoCuSe3 after structural relaxation.

Properties
The value obtained for the spin magnetization is 0.003 μB/cell. The crystal system is orthorhombic. As for the symmetry: Pnma. As for the energy relative to the lowest polymorph listed for this composition: 34 meV/atom.

Cell: 3.647 10.141 12.697 Å, 90.00 90.00 90.00°
Positions (direct):
Co 0.250 0.144 0.030
Co 0.750 0.644 0.470
Co 0.250 0.356 0.530
Co 0.750 0.856 0.970
Cu 0.250 0.781 0.225
Cu 0.750 0.281 0.275
Cu 0.250 0.719 0.725
Cu 0.750 0.219 0.775
Na 0.750 0.546 0.162
Na 0.250 0.046 0.338
Na 0.750 0.954 0.662
Na 0.250 0.454 0.838
Se 0.250 0.730 0.048
Se 0.750 0.019 0.102
Se 0.250 0.308 0.163
Se 0.750 0.808 0.337
Se 0.250 0.519 0.398
Se 0.750 0.230 0.452
Se 0.250 0.770 0.548
Se 0.750 0.481 0.602
Se 0.250 0.192 0.663
Se 0.750 0.692 0.837
Se 0.250 0.981 0.898
Se 0.750 0.270 0.952

=====

Record 3
## NaCoCuSe3 (PBE)

Data for NaCoCuSe3 after structural relaxation.

Properties
The value obtained for the spin magnetization is 0.023 μB/cell. The crystal system is orthorhombic. As for the symmetry: Cmcm. As for the energy relative to the lowest polymorph listed for this composition: 69 meV/atom.

Cell: 3.543 6.872 9.553 Å, 90.00 90.00 75.06°
Positions (direct):
Co 0.000 0.000 0.000
Co 0.000 0.000 0.500
Cu 0.550 0.899 0.250
Cu 0.450 0.101 0.750
Na 0.241 0.519 0.250
Na 0.759 0.481 0.750
Se 0.625 0.751 0.027
Se 0.929 0.142 0.250
Se 0.625 0.751 0.473
Se 0.375 0.249 0.527
Se 0.071 0.858 0.750
Se 0.375 0.249 0.973

=====

Record 4
## NaCoCuSe3 (PBE)

Data for NaCoCuSe3 after structural relaxation.

Properties
The value obtained for the spin magnetization is 0.000 μB/cell. The crystal system is monoclinic. As for the symmetry: P2_1/m. As for the energy relative to the lowest polymorph listed for this composition: 0 meV/atom.

Cell: 7.375 3.617 9.280 Å, 90.00 110.12 90.00°
Positions (direct):
Co 0.180 0.250 0.151
Co 0.820 0.750 0.849
Cu 0.432 0.750 0.395
Cu 0.568 0.250 0.605
Na 0.753 0.250 0.292
Na 0.247 0.750 0.708
Se 0.954 0.750 0.122
Se 0.392 0.750 0.131
Se 0.227 0.250 0.428
Se 0.773 0.750 0.572
Se 0.608 0.250 0.869
Se 0.046 0.250 0.878

=====

Record 5
## NaCoCuTe2Se (PBE)

Data for NaCoCuTe2Se after structural relaxation.

Properties
The value obtained for the spin magnetization is 0.712 μB/cell. The crystal system is orthorhombic. Its total energy is -3.89 eV/atom. As for the symmetry: Cmcm.

Cell: 7.043 7.043 10.066 Å, 90.00 90.00 148.92°
Positions (direct):
Co 0.000 0.000 0.000
Co 0.000 0.000 0.500
Cu 0.452 0.548 0.250
Cu 0.548 0.452 0.750
Na 0.755 0.245 0.250
Na 0.245 0.755 0.750
Se 0.062 0.938 0.250
Se 0.938 0.062 0.750
Te 0.371 0.629 0.023
Te 0.371 0.629 0.477
Te 0.629 0.371 0.523
Te 0.629 0.371 0.977

=====

Record 6
## NaCoCuTc (PBE)

Data for NaCoCuTc after structural relaxation.

Properties
The value obtained for the spin magnetization is 0.063 μB/cell. The crystal system is cubic. As for the symmetry: F-43m. As for the energy relative to the lowest polymorph listed for this composition: 0 meV/atom.

Cell: 4.267 4.267 4.267 Å, 60.00 60.00 60.00°
Positions (direct):
Co 0.500 0.500 0.500
Cu 0.000 0.000 0.000
Na 0.750 0.750 0.750
Tc 0.250 0.250 0.250